Here is a geometry-optimized VCrOF2 structure from Alexandria. Energies are from PBE with a Hubbard U.

a b c (Å): 3.9864 3.9864 4.0011
angles (deg): 90.00 90.00 90.00
Atoms (fractional coordinates):
F1 0.5000 0.0000 0.0000
F2 0.0000 0.5000 0.0000
O1 0.0000 0.0000 0.5000
V1 0.5000 0.5000 0.5000
Cr1 0.0000 0.0000 0.0000

E above lowest polymorph: 332.3 meV per atom
total moment: 7.0 μB per formula unit
SG: No. 123
volume: 63.6 Å³ per cell
raw total energy: -31.04 eV per cell


Here is a geometry-optimized VCrO2F structure from Alexandria. Energies are from PBE with a Hubbard U.

a b c (Å): 3.8670 3.8670 3.9736
angles (deg): 90.00 90.00 90.00
Atoms (fractional coordinates):
O1 0.5000 0.0000 0.0000
Cr1 0.5000 0.5000 0.5000
O2 0.0000 0.5000 0.0000
F1 0.0000 0.0000 0.5000
V1 0.0000 0.0000 0.0000

total moment: 6.0 μB per formula unit
SG: No. 123
volume: 59.4 Å³ per cell
raw total energy: -34.82 eV per cell


Here is a geometry-optimized VCrOF2 structure from Alexandria. Energies are from PBE with a Hubbard U.

a b c (Å): 4.1036 4.1036 3.8268
angles (deg): 90.00 90.00 90.00
Atoms (fractional coordinates):
V1 0.0000 0.0000 0.0000
F1 0.5000 0.0000 0.0000
Cr1 0.5000 0.5000 0.5000
O1 0.0000 0.0000 0.5000
F2 0.0000 0.5000 0.0000

E above lowest polymorph: 0.0 meV per atom
total moment: 7.0 μB per formula unit
SG: No. 123
volume: 64.4 Å³ per cell
raw total energy: -32.70 eV per cell


> Look up the volume of the second one.

59.4 Å³ per cell